Computed, not measured: an optimized crystal structure of RbCrAg2Bi at the PBE level of DFT.

Volume: 41.803 Å³ per atom
Crystal system: tetragonal
DFT formation energy: 82.2 kJ/mol of atoms

The structure in POSCAR format:
```
RbCrAg2Bi
1.0
5.469 0.000 0.000
0.000 5.469 0.000
0.000 0.000 6.989
Rb Cr Ag Bi
1 1 2 1
Direct
0.000 0.000 0.000
0.500 0.500 0.000
0.000 0.500 0.500
0.500 0.000 0.500
0.000 0.000 0.500
```

---

Computed, not measured: an optimized crystal structure of Ta2CrAgBi at the PBE level of DFT.

Volume: 21.604 Å³ per atom
Crystal system: tetragonal
DFT formation energy: 100.8 kJ/mol of atoms

The structure in POSCAR format:
```
Ta2CrAgBi
1.0
4.596 0.000 0.000
0.000 4.596 0.000
0.000 0.000 5.115
Ta Cr Ag Bi
2 1 1 1
Direct
0.000 0.500 0.000
0.500 0.000 0.000
0.000 0.000 0.000
0.000 0.000 0.500
0.500 0.500 0.500
```

---

Computed, not measured: an optimized crystal structure of Tl2CrAgBi at the PBE level of DFT.

Volume: 40.623 Å³ per atom
Crystal system: tetragonal
DFT formation energy: 82.1 kJ/mol of atoms

The structure in POSCAR format:
```
Tl2CrAgBi
1.0
6.196 0.000 0.000
0.000 6.196 0.000
0.000 0.000 5.290
Tl Cr Ag Bi
2 1 1 1
Direct
0.000 0.500 0.000
0.500 0.000 0.000
0.000 0.000 0.500
0.500 0.500 0.500
0.000 0.000 0.000
```

---

Computed, not measured: an optimized crystal structure of VCr2AgBi at the PBE level of DFT.

Volume: 20.495 Å³ per atom
Crystal system: tetragonal
DFT formation energy: 98.0 kJ/mol of atoms

The structure in POSCAR format:
```
VCr2AgBi
1.0
4.488 0.000 0.000
0.000 4.488 0.000
0.000 0.000 5.088
V Cr Ag Bi
1 2 1 1
Direct
0.000 0.000 0.000
0.000 0.500 0.000
0.500 0.000 0.000
0.000 0.000 0.500
0.500 0.500 0.500
```